A plane-wave DFT calculation with GGA+U was carried out for a relaxed DyV2F8 crystal.

```
DyV2F8
1.0
4.298 -0.060 0.001
-0.128 5.027 -3.639
-0.005 -0.015 7.298
F Dy V
8 1 2
Cartesian
1.026 3.156 3.658
1.043 1.000 1.660
3.139 1.796 0.003
3.125 3.962 -1.983
0.943 4.108 0.008
3.222 0.844 3.652
3.122 3.952 2.001
1.040 0.990 5.644
-0.005 -0.015 7.298
1.082 1.180 3.652
3.083 3.771 0.009
```

DOS at the Fermi energy: 6.53 states/eV per cell
raw total energy: -69.53 eV per formula unit